1.
Li3Ho3MnS8 | GGA-PBE | optimized geometry

Unit cell a=7.549 b=7.549 c=7.549 alpha=60.65 beta=60.65 gamma=60.65
Fractional coordinates of all 15 atoms:
1 Li 0.000 0.500 0.500
2 Li 0.500 0.000 0.500
3 Li 0.500 0.500 0.000
4 Ho 0.000 0.000 0.500
5 Ho 0.000 0.500 0.000
6 Ho 0.500 0.000 0.000
7 Mn 0.500 0.500 0.500
8 S 0.251 0.251 0.251
9 S 0.274 0.274 0.720
10 S 0.274 0.720 0.274
11 S 0.280 0.726 0.726
12 S 0.720 0.274 0.274
13 S 0.726 0.280 0.726
14 S 0.726 0.726 0.280
15 S 0.749 0.749 0.749

For the total energy, the calculation gives -84.87 eV for the cell shown. Its space group is No. 166. The crystal system is trigonal.


2.
NaHg4Pb | GGA-PBE | optimized geometry

Unit cell a=6.145 b=6.145 c=5.224 alpha=114.21 beta=114.21 gamma=93.76
Fractional coordinates of all 6 atoms:
1 Na 0.000 0.000 0.000
2 Hg 0.077 0.412 0.745
3 Hg 0.412 0.077 0.745
4 Hg 0.588 0.923 0.255
5 Hg 0.923 0.588 0.255
6 Pb 0.500 0.500 0.500

Its space group is No. 12. The offset from the most stable computed form comes out at 2 meV per atom. The crystal system is monoclinic. Its formation energy is -0.103 eV per atom.


3.
K2NbNi2S4 | GGA-PBE | optimized geometry

Unit cell a=6.941 b=6.941 c=7.575 alpha=106.71 beta=106.71 gamma=30.00
Fractional coordinates of all 9 atoms:
1 K 0.135 0.135 0.058
2 K 0.865 0.865 0.942
3 Nb 0.000 0.000 0.500
4 Ni 0.329 0.329 0.515
5 Ni 0.671 0.671 0.485
6 S 0.197 0.197 0.666
7 S 0.484 0.484 0.729
8 S 0.516 0.516 0.271
9 S 0.803 0.803 0.334

For the total energy, the calculation gives -48.27 eV for the cell shown. Its space group is No. 12. The crystal system is monoclinic.


4.
YSi2 | GGA-PBE | optimized geometry

Unit cell a=5.932 b=3.894 c=10.497 alpha=90.00 beta=90.00 gamma=90.00
Fractional coordinates of all 12 atoms:
1 Y 0.223 0.250 0.099
2 Y 0.277 0.750 0.599
3 Y 0.723 0.250 0.401
4 Y 0.777 0.750 0.901
5 Si 0.122 0.250 0.793
6 Si 0.215 0.250 0.393
7 Si 0.285 0.750 0.893
8 Si 0.378 0.750 0.293
9 Si 0.622 0.250 0.707
10 Si 0.715 0.250 0.107
11 Si 0.785 0.750 0.607
12 Si 0.878 0.750 0.207

For the total energy, the calculation gives -74.84 eV for the cell shown. Its space group is No. 62. The crystal system is orthorhombic.